# 1
# RbFeCu | Alexandria via LeMat-Bulk | GGA-PBE | relaxed
data_RbFeCu
_chemical_formula_sum 'Rb2 Fe2 Cu2'
_cell_length_a 4.742
_cell_length_b 4.884
_cell_length_c 10.487
_cell_angle_alpha 82.18
_cell_angle_beta 89.87
_cell_angle_gamma 61.38
_space_group_name_H-M_alt 'P -1'
_space_group_IT_number 2
loop_
_space_group_symop_operation_xyz
'x,y,z'
'-x,-y,-z'
loop_
_atom_site_label
_atom_site_type_symbol
_atom_site_fract_x
_atom_site_fract_y
_atom_site_fract_z
Rb1 Rb 0.196 0.112 0.217
Fe1 Fe 0.251 0.500 0.500
Cu1 Cu 0.255 0.989 0.530
# - ΔE to the lowest computed polymorph (kcal/mol of atoms) = 0.000
# - formation energy (meV/atom) = 480
# - DFT total energy (hartree per atom) = -0.148
# - spin magnetization (μB/f.u.) = 2.8



# 2
# DyZr2UP4 | Alexandria via LeMat-Bulk | GGA-PBE | relaxed
data_DyZr2UP4
_chemical_formula_sum 'Dy1 Zr2 U1 P4'
_cell_length_a 6.658
_cell_length_b 3.834
_cell_length_c 6.660
_cell_angle_alpha 90.00
_cell_angle_beta 109.19
_cell_angle_gamma 90.00
_space_group_name_H-M_alt 'P 1 2/m 1'
_space_group_IT_number 10
loop_
_space_group_symop_operation_xyz
'x,y,z'
'-x,-y,-z'
'-x,y,-z'
'x,-y,z'
loop_
_atom_site_label
_atom_site_type_symbol
_atom_site_fract_x
_atom_site_fract_y
_atom_site_fract_z
Dy1 Dy 0.000 0.000 0.000
Zr1 Zr 0.500 0.000 0.500
Zr2 Zr 0.500 0.500 0.000
U1 U 0.000 0.500 0.500
P1 P 0.260 0.000 0.751
P2 P 0.261 0.500 0.258
# - formation energy (meV/atom) = -1352
# - DFT total energy (hartree per atom) = -0.301
# - spin magnetization (μB/f.u.) = 1.8



# 3
# Mg2ZnPb | Alexandria via LeMat-Bulk | GGA-PBE | relaxed
data_Mg2ZnPb
_chemical_formula_sum 'Mg2 Zn1 Pb1'
_cell_length_a 3.371
_cell_length_b 3.371
_cell_length_c 8.098
_cell_angle_alpha 90.00
_cell_angle_beta 90.00
_cell_angle_gamma 90.00
_space_group_name_H-M_alt 'P 4 m m'
_space_group_IT_number 99
loop_
_space_group_symop_operation_xyz
'x,y,z'
'-y,x,z'
'-x,-y,z'
'y,-x,z'
'-x,y,z'
'y,x,z'
'x,-y,z'
'-y,-x,z'
loop_
_atom_site_label
_atom_site_type_symbol
_atom_site_fract_x
_atom_site_fract_y
_atom_site_fract_z
Mg1 Mg 0.000 0.000 0.000
Mg2 Mg 0.500 0.500 0.259
Zn1 Zn 0.500 0.500 0.804
Pb1 Pb 0.000 0.000 0.544
# - formation energy (meV/atom) = 23
# - DFT total energy (hartree per atom) = -0.074
# - spin magnetization (μB/f.u.) = 0.0



# 4
# La2ScMoSe | Alexandria via LeMat-Bulk | GGA-PBE | relaxed
data_La2ScMoSe
_chemical_formula_sum 'La2 Sc1 Mo1 Se1'
_cell_length_a 5.699
_cell_length_b 5.699
_cell_length_c 4.676
_cell_angle_alpha 90.00
_cell_angle_beta 90.00
_cell_angle_gamma 90.00
_space_group_name_H-M_alt 'P 4/m m m'
_space_group_IT_number 123
_space_group_name_Hall '-P 4 2'
loop_
_atom_site_label
_atom_site_type_symbol
_atom_site_fract_x
_atom_site_fract_y
_atom_site_fract_z
La1 La 0.000 0.500 0.000
Sc1 Sc 0.000 0.000 0.500
Mo1 Mo 0.500 0.500 0.500
Se1 Se 0.500 0.500 0.000
# - energy relative to the elements, uncorrected (eV per atom) = 0.020
# - DFT total energy (hartree per atom) = -0.223
# - spin magnetization (μB/f.u.) = 0.1